Record 1
The following is a GGA-PBE calculation of Ba2LaReO6 after structural relaxation, from OQMD via LeMat-Bulk.

Lattice parameters (Å, degrees): 6.073 6.073 6.073 60.00 60.00 60.00
Site moments in Bohr magnetons follow the coordinates.
Atoms (fractional coordinates):
La  0.000  0.000  0.000  0.08
O  0.728  0.272  0.272  0.02
O  0.272  0.728  0.272  0.04
O  0.728  0.728  0.272  0.01
O  0.272  0.728  0.728  0.02
O  0.728  0.272  0.728  0.04
O  0.272  0.272  0.728  0.01
Ba  0.750  0.750  0.750  0.03
Ba  0.250  0.250  0.250  0.03
Re  0.500  0.500  0.500  1.44

Computed properties:
**Space-group type**: Fm-3m (225)
**Energy**: -7.62 eV/atom

---

Record 2
The following is a GGA-PBE calculation of CuTePbF after structural relaxation, from OQMD via LeMat-Bulk.

Lattice parameters (Å, degrees): 3.918 3.918 11.831 90.00 90.00 90.00
Atoms (fractional coordinates):
Te  0.500  0.000  0.393
Te  0.000  0.500  0.607
F  0.000  0.000  0.000
F  0.500  0.500  0.000
Cu  0.500  0.000  0.621
Cu  0.000  0.500  0.379
Pb  0.000  0.500  0.865
Pb  0.500  0.000  0.135

Computed properties:
**ΔE to the lowest computed polymorph**: 317 meV per atom
**Space-group type**: P4/nmm (129)

---

Record 3
The following is a GGA-PBE calculation of YHo2Al3Si2Pd after structural relaxation, from OQMD via LeMat-Bulk.

Lattice parameters (Å, degrees): 4.244 6.876 6.876 120.05 90.00 90.00
Atoms (fractional coordinates):
Al  0.500  0.239  0.239
Al  0.500  0.761  0.000
Al  0.500  0.000  0.761
Ho  0.000  0.000  0.418
Ho  0.000  0.418  0.000
Si  0.500  0.667  0.332
Si  0.500  0.332  0.667
Pd  0.000  0.002  0.002
Y  0.000  0.581  0.581

Computed properties:
**Space-group type**: Amm2 (38)
**Energy**: -5.56 eV/atom

---

Record 4
The following is a GGA-PBE calculation of ZnSnSO after structural relaxation, from OQMD via LeMat-Bulk.

Lattice parameters (Å, degrees): 7.835 7.835 5.798 90.00 90.00 25.35
Atoms (fractional coordinates):
Sn  0.930  0.930  0.378
Sn  0.070  0.070  0.878
Zn  0.327  0.327  0.934
Zn  0.673  0.673  0.434
S  0.316  0.316  0.531
S  0.684  0.684  0.031
O  0.126  0.126  0.549
O  0.874  0.874  0.049

Computed properties:
**ΔE to the lowest computed polymorph**: 188 meV per atom
**Space-group type**: Cmc2_1 (36)

---

Record 5
The following is a GGA-PBE calculation of HoTlGeS3 after structural relaxation, from OQMD via LeMat-Bulk.

Lattice parameters (Å, degrees): 7.841 7.841 10.849 90.00 90.00 151.12
Atoms (fractional coordinates):
S  0.877  0.123  0.005
S  0.123  0.877  0.995
S  0.123  0.877  0.505
S  0.485  0.515  0.250
S  0.515  0.485  0.750
S  0.877  0.123  0.495
Ge  0.880  0.120  0.250
Ge  0.120  0.880  0.750
Tl  0.798  0.202  0.750
Tl  0.202  0.798  0.250
Ho  0.500  0.500  0.000
Ho  0.500  0.500  0.500

Computed properties:
**ΔE to the lowest computed polymorph**: 118 meV per atom
**Space-group type**: Cmcm (63)

---

Record 6
The following is a GGA-PBE calculation of Co2SbTe3 after structural relaxation, from OQMD via LeMat-Bulk.

Lattice parameters (Å, degrees): 5.294 3.885 6.246 90.00 90.67 90.00
Atoms (fractional coordinates):
Te  0.223  0.000  0.635
Te  0.729  0.500  0.861
Te  0.274  0.500  0.141
Co  0.002  0.000  0.000
Co  0.501  0.500  0.501
Sb  0.772  0.000  0.361

Computed properties:
**Space-group type**: Pm (6)
**Energy**: -4.84 eV/atom

---

Record 7
The following is a GGA-PBE calculation of NaPmNi after structural relaxation, from OQMD via LeMat-Bulk.

Lattice parameters (Å, degrees): 4.745 4.745 4.745 60.00 60.00 60.00
Atoms (fractional coordinates):
Na  0.250  0.250  0.250
Pm  0.750  0.750  0.750
Ni  0.000  0.000  0.000

Computed properties:
**ΔE to the lowest computed polymorph**: 0 meV per atom
**Space-group type**: F-43m (216)

---

Record 8
The following is a GGA-PBE calculation of SrLaCuSeS2 after structural relaxation, from OQMD via LeMat-Bulk.

Lattice parameters (Å, degrees): 7.048 7.048 10.987 90.00 90.00 146.44
Atoms (fractional coordinates):
S  0.866  0.134  0.416
S  0.866  0.134  0.084
S  0.134  0.866  0.916
S  0.134  0.866  0.584
Se  0.413  0.587  0.750
Se  0.587  0.413  0.250
La  0.500  0.500  0.500
La  0.500  0.500  0.000
Sr  0.263  0.737  0.250
Sr  0.737  0.263  0.750
Cu  0.974  0.026  0.250
Cu  0.026  0.974  0.750

Computed properties:
**Space-group type**: Cmcm (63)
**Energy**: -5.34 eV/atom

---

Record 9
The following is a GGA-PBE calculation of Lu2Hf4Cu3C3 after structural relaxation, from OQMD via LeMat-Bulk.

Lattice parameters (Å, degrees): 5.701 5.701 14.305 102.08 102.08 59.96
Atoms (fractional coordinates):
Cu  0.927  0.073  0.250
Cu  0.586  0.899  0.750
Cu  0.073  0.927  0.750
Cu  0.899  0.586  0.250
Cu  0.101  0.414  0.750
Cu  0.414  0.101  0.250
Hf  0.978  0.796  0.913
Hf  0.144  0.305  0.413
Hf  0.204  0.022  0.587
Hf  0.022  0.204  0.087
Hf  0.305  0.144  0.913
Hf  0.695  0.856  0.087
Hf  0.856  0.695  0.587
Hf  0.796  0.978  0.413
C  0.500  0.000  0.500
C  0.328  0.843  0.000
C  0.843  0.328  0.500
C  0.157  0.672  0.500
C  0.000  0.500  0.000
C  0.672  0.157  0.000
Lu  0.623  0.460  0.887
Lu  0.540  0.377  0.613
Lu  0.377  0.540  0.113
Lu  0.460  0.623  0.387

Computed properties:
**Space-group type**: C2/c (15)
**Energy**: -7.75 eV/atom

---

Record 10
The following is a GGA-PBE calculation of AlSiMo4C2 after structural relaxation, from OQMD via LeMat-Bulk.

Lattice parameters (Å, degrees): 3.067 3.067 12.961 90.00 90.00 120.00
Atoms (fractional coordinates):
Mo  0.000  0.000  0.351
Mo  0.667  0.333  0.832
Mo  0.667  0.333  0.168
Mo  0.000  0.000  0.649
C  0.333  0.667  0.257
C  0.333  0.667  0.743
Al  0.000  0.000  0.000
Si  0.667  0.333  0.500

Computed properties:
**Space-group type**: P-6m2 (187)
**Energy**: -9.01 eV/atom

---

Record 11
The following is a GGA-PBE calculation of Lu3B2Pb after structural relaxation, from OQMD via LeMat-Bulk.

Lattice parameters (Å, degrees): 3.535 3.535 23.316 90.00 90.00 120.00
Atoms (fractional coordinates):
Lu  0.000  0.000  0.500
Lu  0.667  0.333  0.134
Lu  0.000  0.000  0.000
Lu  0.333  0.667  0.866
Lu  0.333  0.667  0.634
Lu  0.667  0.333  0.366
Pb  0.000  0.000  0.250
Pb  0.000  0.000  0.750
B  0.667  0.333  0.572
B  0.667  0.333  0.928
B  0.333  0.667  0.072
B  0.333  0.667  0.428

Computed properties:
**Space-group type**: P6_3/mmc (194)
**Energy**: -5.20 eV/atom

---

Record 12
The following is a GGA-PBE calculation of TbPrZn2Sb4 after structural relaxation, from OQMD via LeMat-Bulk.

Lattice parameters (Å, degrees): 4.488 4.488 10.037 90.00 90.00 90.00
Atoms (fractional coordinates):
Zn  0.000  0.500  0.496
Zn  0.500  0.000  0.496
Sb  0.000  0.500  0.008
Sb  0.000  0.000  0.326
Sb  0.500  0.000  0.008
Sb  0.500  0.500  0.665
Pr  0.000  0.000  0.766
Tb  0.500  0.500  0.237

Computed properties:
**Space-group type**: P4mm (99)
**Energy**: -4.09 eV/atom

---

Volume across the listed records, respectively: 158, 91, 174, 76, 161, 128, 76, 151, 195, 106, 126, 202 Å³/f.u..